Here is a geometry-optimized U2PaAs2N2 structure from Alexandria. Energies are from PBE.

Cell and atoms, written as CIF:
```
data_U2PaAs2N2
_chemical_formula_sum 'U4 Pa2 As4 N4'
_symmetry_space_group_name_H-M 'C 1 2/m 1'
_symmetry_Int_Tables_number 12
_cell_length_a 11.953
_cell_length_b 3.862
_cell_length_c 6.997
_cell_angle_alpha 90.00
_cell_angle_beta 121.79
_cell_angle_gamma 90.00
loop_
_symmetry_equiv_pos_as_xyz
'x,y,z'
'-x,-y,-z'
'-x,y,-z'
'x,-y,z'
'x+1/2,y+1/2,z'
'-x+1/2,-y+1/2,-z'
'-x+1/2,y+1/2,-z'
'x+1/2,-y+1/2,z'
loop_
_atom_site_label
_atom_site_fract_x
_atom_site_fract_y
_atom_site_fract_z
_atom_site_occupancy
U1 0.185 0.000 0.239 1
Pa1 0.000 0.000 0.500 1
As1 0.069 0.500 0.851 1
N1 0.207 0.000 0.590 1
```

Output
The energy relative to the elements, uncorrected comes out at -1.172 eV/atom. The electronic total energy comes out at -132.45 eV per cell. The value obtained for the density of states at the Fermi level is 1.564 states/eV per atom.



Here is a geometry-optimized PaVAs2N structure from Alexandria. Energies are from PBE.

Cell and atoms, written as CIF:
```
data_PaVAs2N
_chemical_formula_sum 'Pa2 V2 As4 N2'
_symmetry_space_group_name_H-M 'P 4/n m m'
_symmetry_Int_Tables_number 129
_cell_length_a 3.716
_cell_length_b 3.716
_cell_length_c 12.593
_cell_angle_alpha 90.00
_cell_angle_beta 90.00
_cell_angle_gamma 90.00
loop_
_symmetry_equiv_pos_as_xyz
'x,y,z'
'-x,-y,-z'
'-y+1/2,x,z'
'y+1/2,-x,-z'
'-x+1/2,-y+1/2,z'
'x+1/2,y+1/2,-z'
'y,-x+1/2,z'
'-y,x+1/2,-z'
'x+1/2,-y,-z'
'-x+1/2,y,z'
'-y,-x,-z'
'y,x,z'
'-x,y+1/2,-z'
'x,-y+1/2,z'
'y+1/2,x+1/2,-z'
'-y+1/2,-x+1/2,z'
loop_
_atom_site_label
_atom_site_fract_x
_atom_site_fract_y
_atom_site_fract_z
_atom_site_occupancy
Pa1 0.250 0.250 0.101 1
V1 0.250 0.250 0.577 1
As1 0.250 0.250 0.380 1
As2 0.250 0.250 0.777 1
N1 0.250 0.750 0.000 1
```

Output
The energy relative to the elements, uncorrected comes out at -0.856 eV/atom. The electronic total energy comes out at -81.04 eV per cell. The value obtained for the density of states at the Fermi level is 0.432 states/eV per atom.



Here is a geometry-optimized YPa2AsN5 structure from Alexandria. Energies are from PBE.

Cell and atoms, written as CIF:
```
data_YPa2AsN5
_chemical_formula_sum 'Y4 Pa8 As4 N20'
_symmetry_space_group_name_H-M 'C m c 21'
_symmetry_Int_Tables_number 36
_cell_length_a 3.343
_cell_length_b 16.466
_cell_length_c 10.332
_cell_angle_alpha 90.00
_cell_angle_beta 90.00
_cell_angle_gamma 90.00
loop_
_symmetry_equiv_pos_as_xyz
'x,y,z'
'-x,-y,z+1/2'
'-x,y,z'
'x,-y,z+1/2'
'x+1/2,y+1/2,z'
'-x+1/2,-y+1/2,z+1/2'
'-x+1/2,y+1/2,z'
'x+1/2,-y+1/2,z+1/2'
loop_
_atom_site_label
_atom_site_fract_x
_atom_site_fract_y
_atom_site_fract_z
_atom_site_occupancy
Y1 0.000 0.171 0.000 1
Pa1 0.000 0.153 0.341 1
Pa2 0.000 0.176 0.670 1
As1 0.000 0.497 0.991 1
N1 0.000 0.052 0.561 1
N2 0.000 0.306 0.010 1
N3 0.000 0.306 0.327 1
N4 0.000 0.310 0.671 1
N5 0.000 0.441 0.838 1
```

Output
The energy relative to the elements, uncorrected comes out at -1.056 eV/atom. The electronic total energy comes out at -324.94 eV per cell. The value obtained for the density of states at the Fermi level is 0.217 states/eV per atom.



| no. | calculated volume (A^3/atom) | total moment (μB per cell) |
| --- | --- | --- |
| 1 | 19.6 | 9.51 |
| 2 | 17.4 | 0.00 |
| 3 | 15.8 | 0.00 |